Record 1
NpGa4PtRh2 | PBE | relaxed

```
NpGa4PtRh2
1.0
2.1346 1.2324 8.6606
-2.1346 1.2324 8.6606
0.0000 -2.4648 8.6606
Np Ga Pt Rh
1 4 1 2
direct
0.0000 0.0000 0.0000 Np
0.1276 0.1276 0.1276 Ga
0.3975 0.3975 0.3975 Ga
0.6025 0.6025 0.6025 Ga
0.8724 0.8724 0.8724 Ga
0.5000 0.5000 0.5000 Pt
0.2319 0.2319 0.2319 Rh
0.7681 0.7681 0.7681 Rh
```

**Crystal system**: trigonal
**Formation enthalpy at 0 K**: -0.45 eV/atom
**Space-group type**: No. 166
**DOS(E_F)**: 1.559 states/eV/atom

***

Record 2
NpGa4Pt2Rh | PBE | relaxed

```
NpGa4Pt2Rh
1.0
2.1414 1.2363 8.6648
-2.1414 1.2363 8.6648
0.0000 -2.4727 8.6648
Np Ga Pt Rh
1 4 2 1
direct
0.0000 0.0000 0.0000 Np
0.1314 0.1314 0.1314 Ga
0.3973 0.3973 0.3973 Ga
0.6027 0.6027 0.6027 Ga
0.8686 0.8686 0.8686 Ga
0.2366 0.2366 0.2366 Pt
0.7634 0.7634 0.7634 Pt
0.5000 0.5000 0.5000 Rh
```

**Crystal system**: trigonal
**Formation enthalpy at 0 K**: -0.51 eV/atom
**Space-group type**: No. 166
**DOS(E_F)**: 1.262 states/eV/atom

***

Record 3
Np2Ga4Pt3Rh | PBE | relaxed

```
Np2Ga4Pt3Rh
1.0
4.1776 0.0000 0.0000
0.0000 4.1776 0.0000
0.0000 0.0000 10.7079
Np Ga Pt Rh
2 4 3 1
direct
0.0000 0.5000 0.2482 Np
0.5000 0.0000 0.7518 Np
0.0000 0.0000 0.5000 Ga
0.0000 0.5000 0.8708 Ga
0.5000 0.0000 0.1292 Ga
0.5000 0.5000 0.5000 Ga
0.0000 0.0000 0.0000 Pt
0.0000 0.5000 0.6393 Pt
0.5000 0.0000 0.3607 Pt
0.5000 0.5000 0.0000 Rh
```

**Crystal system**: tetragonal
**Formation enthalpy at 0 K**: -0.58 eV/atom
**Space-group type**: No. 115
**DOS(E_F)**: 2.713 states/eV/atom

***

Record 4
Np2GaPtRh5 | PBE | relaxed

```
Np2GaPtRh5
1.0
-3.4403 3.4403 6.5387
3.4403 -3.4403 6.5387
3.4403 3.4403 -6.5387
Np Ga Pt Rh
4 2 2 10
direct
0.1207 0.6207 0.7415 Np
0.3793 0.1207 0.5000 Np
0.6207 0.8793 0.5000 Np
0.8793 0.3793 0.2585 Np
0.2500 0.2500 0.0000 Ga
0.7500 0.7500 0.0000 Ga
0.2500 0.7500 0.5000 Pt
0.7500 0.2500 0.5000 Pt
0.0000 0.0000 0.0000 Rh
0.0859 0.1196 0.5000 Rh
0.1196 0.6196 0.0337 Rh
0.3804 0.4141 0.5000 Rh
0.4141 0.9141 0.0337 Rh
0.5000 0.5000 0.0000 Rh
0.5859 0.0859 0.9663 Rh
0.6196 0.5859 0.5000 Rh
0.8804 0.3804 0.9663 Rh
0.9141 0.8804 0.5000 Rh
```

**Crystal system**: tetragonal
**Formation enthalpy at 0 K**: -0.09 eV/atom
**Space-group type**: No. 140
**DOS(E_F)**: 1.153 states/eV/atom

***

Record 5
Np2GaSi4Pt3 | PBE | relaxed

```
Np2GaSi4Pt3
1.0
4.2053 0.0000 0.0000
0.0000 4.2053 0.0000
0.0000 0.0000 9.9700
Np Ga Si Pt
2 1 4 3
direct
0.0000 0.5000 0.2499 Np
0.5000 0.0000 0.7501 Np
0.0000 0.0000 0.5000 Ga
0.0000 0.0000 0.0000 Si
0.0000 0.5000 0.6409 Si
0.5000 0.0000 0.3591 Si
0.5000 0.5000 0.0000 Si
0.0000 0.5000 0.8791 Pt
0.5000 0.0000 0.1209 Pt
0.5000 0.5000 0.5000 Pt
```

**Crystal system**: tetragonal
**Raw formation energy**: -634.5 meV per atom
**Space-group type**: No. 115
**DOS(E_F)**: 1.929 states/eV/atom

***

Record 6
Np2Ga3SiPt4 | PBE | relaxed

```
Np2Ga3SiPt4
1.0
4.2113 0.0000 0.0000
0.0000 4.2113 0.0000
0.0000 0.0000 10.4508
Np Ga Si Pt
2 3 1 4
direct
0.0000 0.5000 0.2425 Np
0.5000 0.0000 0.7575 Np
0.0000 0.0000 0.0000 Ga
0.0000 0.5000 0.6368 Ga
0.5000 0.0000 0.3632 Ga
0.5000 0.5000 0.0000 Si
0.0000 0.0000 0.5000 Pt
0.0000 0.5000 0.8731 Pt
0.5000 0.0000 0.1269 Pt
0.5000 0.5000 0.5000 Pt
```

**Crystal system**: tetragonal
**Raw formation energy**: -614.3 meV per atom
**Space-group type**: No. 115
**DOS(E_F)**: 2.238 states/eV/atom

***

Record 7
NpUGaPt | PBE | relaxed

```
NpUGaPt
1.0
6.8279 0.0000 0.0000
0.0000 6.8279 0.0000
0.0000 0.0000 6.8279
Np U Ga Pt
4 4 4 4
direct
0.0000 0.0000 0.0000 Np
0.0000 0.5000 0.5000 Np
0.5000 0.0000 0.5000 Np
0.5000 0.5000 0.0000 Np
0.2500 0.2500 0.7500 U
0.2500 0.7500 0.2500 U
0.7500 0.2500 0.2500 U
0.7500 0.7500 0.7500 U
0.2500 0.2500 0.2500 Ga
0.2500 0.7500 0.7500 Ga
0.7500 0.2500 0.7500 Ga
0.7500 0.7500 0.2500 Ga
0.0000 0.0000 0.5000 Pt
0.0000 0.5000 0.0000 Pt
0.5000 0.0000 0.0000 Pt
0.5000 0.5000 0.5000 Pt
```

**Crystal system**: cubic
**Formation enthalpy at 0 K**: -0.23 eV/atom
**Space-group type**: No. 216
**DOS(E_F)**: 1.920 states/eV/atom

***

Record 8
Np2ZnGa3Pt4 | PBE | relaxed

```
Np2ZnGa3Pt4
1.0
4.0642 0.0000 0.0000
0.0000 4.0642 0.0000
0.0000 0.0000 11.3516
Np Zn Ga Pt
2 1 3 4
direct
0.0000 0.5000 0.2469 Np
0.5000 0.0000 0.7531 Np
0.5000 0.5000 0.0000 Zn
0.0000 0.0000 0.0000 Ga
0.0000 0.5000 0.6326 Ga
0.5000 0.0000 0.3674 Ga
0.0000 0.0000 0.5000 Pt
0.0000 0.5000 0.8519 Pt
0.5000 0.0000 0.1481 Pt
0.5000 0.5000 0.5000 Pt
```

**Crystal system**: tetragonal
**Formation enthalpy at 0 K**: -0.57 eV/atom
**Space-group type**: No. 115
**DOS(E_F)**: 2.104 states/eV/atom

***

Record 9
NpZn2GaPt2 | PBE | relaxed

```
NpZn2GaPt2
1.0
4.4213 0.0000 0.0000
-2.2106 3.8289 0.0000
0.0000 0.0000 6.3322
Np Zn Ga Pt
1 2 1 2
direct
0.0000 0.0000 0.0000 Np
0.3333 0.6667 0.6935 Zn
0.6667 0.3333 0.3065 Zn
0.0000 0.0000 0.5000 Ga
0.3333 0.6667 0.2599 Pt
0.6667 0.3333 0.7401 Pt
```

**Crystal system**: trigonal
**Formation enthalpy at 0 K**: -0.40 eV/atom
**Space-group type**: No. 164
**DOS(E_F)**: 1.731 states/eV/atom

***

Record 10
Np2ZnGaPt6 | PBE | relaxed

```
Np2ZnGaPt6
1.0
4.8098 -2.7803 0.0000
4.8098 2.7803 0.0000
-3.2171 0.0000 7.9452
Np Zn Ga Pt
2 1 1 6
direct
0.2000 0.2000 0.1002 Np
0.8000 0.8000 0.8998 Np
0.0000 0.0000 0.5000 Zn
0.5000 0.5000 0.0000 Ga
0.2446 0.7488 0.2424 Pt
0.2509 0.2509 0.7579 Pt
0.2512 0.7554 0.7576 Pt
0.7488 0.2446 0.2424 Pt
0.7491 0.7491 0.2421 Pt
0.7554 0.2512 0.7576 Pt
```

**Crystal system**: monoclinic
**Formation enthalpy at 0 K**: -0.43 eV/atom
**Space-group type**: No. 12
**DOS(E_F)**: 2.079 states/eV/atom

***

Record 11
PuNpGa | PBE | relaxed

```
PuNpGa
1.0
3.3798 0.0000 0.0000
0.0000 3.3798 0.0000
0.0000 0.0000 9.7278
Pu Np Ga
2 2 2
direct
0.0000 0.0000 0.0000 Pu
0.5000 0.5000 0.5000 Pu
0.0000 0.0000 0.6013 Np
0.5000 0.5000 0.1013 Np
0.0000 0.0000 0.3015 Ga
0.5000 0.5000 0.8015 Ga
```

**Crystal system**: tetragonal
**Distance to the lowest polymorph of the same formula**: 68 meV/atom
**Formation enthalpy at 0 K**: -0.03 eV/atom
**Space-group type**: No. 107
**DOS(E_F)**: 2.097 states/eV/atom

***

Record 12
PuNp2Ga6 | PBE | relaxed

```
PuNp2Ga6
1.0
8.3342 0.0000 0.0000
-4.1671 7.2177 0.0000
0.0000 0.0000 2.7451
Pu Np Ga
1 2 6
direct
0.0000 0.0000 0.0000 Pu
0.3333 0.6667 0.0000 Np
0.6667 0.3333 0.0000 Np
0.0000 0.3289 0.5000 Ga
0.0000 0.6711 0.5000 Ga
0.3289 0.0000 0.5000 Ga
0.3289 0.3289 0.5000 Ga
0.6711 0.0000 0.5000 Ga
0.6711 0.6711 0.5000 Ga
```

**Crystal system**: hexagonal
**Formation enthalpy at 0 K**: -0.06 eV/atom
**Space-group type**: No. 191
**DOS(E_F)**: 2.079 states/eV/atom